(1)
Here is a geometry-optimized SbHBr structure from Alexandria. Energies are from PBE.

Lattice parameters (Å, degrees): 5.5326 5.9984 5.5759 90.00 108.67 90.00
With the nearest neighbours (Å) after each atom.
Sites, in units of the cell vectors:
Sb  0.7882  0.7750  0.7568  1 H 1.73
Sb  0.2118  0.7750  0.2432  1 H 1.73
Br  0.0000  0.0909  0.5000  2 Sb 2.84, 2 H 3.17
Br  0.5000  0.5221  0.0000  2 Sb 2.84
H  0.3429  0.0080  0.1484  1 Sb 1.73
H  0.6571  0.0080  0.8516  1 Sb 1.73

Results
SG = P2
calculated total energy = -3.19 eV per atom

(2)
Here is a geometry-optimized TmPaCoNi structure from Alexandria. Energies are from PBE.

Lattice parameters (Å, degrees): 4.7058 4.7058 4.7058 60.00 60.00 60.00
With the nearest neighbours (Å) after each atom.
Sites, in units of the cell vectors:
Pa  0.0000  0.0000  0.0000  4 Ni 2.88, 4 Co 2.88
Tm  0.5000  0.5000  0.5000  4 Co 2.88, 4 Ni 2.88
Ni  0.2500  0.2500  0.2500  4 Tm 2.88, 4 Pa 2.88
Co  0.7500  0.7500  0.7500  4 Pa 2.88, 4 Tm 2.88

Results
SG = F-43m
formation enthalpy at 0 K = -0.22 eV/atom